Material: KTa2Mo
Method: DFT, PBE-GGA
State: optimized geometry

a b c (Å): 4.834 4.834 4.834
angles (deg): 120.30 120.30 89.48
Sites, in units of the cell vectors:
K 0.000 0.000 0.000
Ta 0.500 0.500 0.000
Ta 0.750 0.250 0.500
Mo 0.250 0.750 0.500

Space-group type: No. 119
N(E_F): 6.6 states/eV/f.u.
Polymorph energy (0 for the lowest one): 917 meV/atom

Material: SmYSc2Se4
Method: DFT, PBE-GGA
State: optimized geometry

a b c (Å): 6.919 3.964 7.001
angles (deg): 90.00 109.00 90.00
Sites, in units of the cell vectors:
Sm 0.000 0.000 0.000
Y 0.500 0.500 0.000
Sc 0.000 0.500 0.500
Sc 0.500 0.000 0.500
Se 0.247 0.000 0.731
Se 0.261 0.500 0.272
Se 0.739 0.500 0.728
Se 0.753 0.000 0.269

Space-group type: No. 10
Raw formation energy: -1.681 eV/atom
N(E_F): 5.0 states/eV/f.u.

Material: BaYRu2
Method: DFT, PBE-GGA
State: optimized geometry

a b c (Å): 3.786 3.786 7.205
angles (deg): 90.00 90.00 90.00
Sites, in units of the cell vectors:
Ba 0.000 0.000 0.000
Y 0.000 0.000 0.500
Ru 0.500 0.500 0.326
Ru 0.500 0.500 0.674

Space-group type: No. 123
N(E_F): 3.0 states/eV/f.u.
Uncorrected energy: -6.40 eV/atom

Material: Sr2ReHg
Method: DFT, PBE-GGA
State: optimized geometry

a b c (Å): 3.715 3.715 8.851
angles (deg): 90.00 90.00 90.00
Sites, in units of the cell vectors:
Sr 0.000 0.000 0.000
Sr 0.500 0.500 0.411
Re 0.500 0.500 0.758
Hg 0.000 0.000 0.648

Space-group type: No. 99
N(E_F): 5.1 states/eV/f.u.
Uncorrected energy: -3.41 eV/atom

Material: AcDy5Y3
Method: DFT, PBE-GGA
State: optimized geometry

a b c (Å): 9.379 9.379 11.269
angles (deg): 126.55 126.55 56.75
Sites, in units of the cell vectors:
Ac 0.188 0.812 0.750
Ac 0.812 0.188 0.250
Dy 0.017 0.787 0.926
Dy 0.036 0.600 0.310
Dy 0.213 0.983 0.574
Dy 0.252 0.748 0.250
Dy 0.400 0.964 0.190
Dy 0.600 0.036 0.810
Dy 0.748 0.252 0.750
Dy 0.787 0.017 0.426
Dy 0.964 0.400 0.690
Dy 0.983 0.213 0.074
Y 0.273 0.287 0.524
Y 0.287 0.273 0.024
Y 0.500 0.500 0.000
Y 0.500 0.500 0.500
Y 0.713 0.727 0.976
Y 0.727 0.713 0.476

Space-group type: No. 15
N(E_F): 14.6 states/eV/f.u.
Polymorph energy (0 for the lowest one): 0 meV/atom

Material: CaNd4Er3Te8
Method: DFT, PBE-GGA
State: optimized geometry

a b c (Å): 8.982 8.982 8.982
angles (deg): 58.21 58.21 58.21
Sites, in units of the cell vectors:
Ca 0.000 0.000 0.000
Nd 0.000 0.000 0.500
Nd 0.000 0.500 0.000
Nd 0.500 0.000 0.000
Nd 0.500 0.500 0.500
Er 0.000 0.500 0.500
Er 0.500 0.000 0.500
Er 0.500 0.500 0.000
Te 0.247 0.247 0.743
Te 0.247 0.743 0.247
Te 0.255 0.255 0.255
Te 0.257 0.753 0.753
Te 0.743 0.247 0.247
Te 0.745 0.745 0.745
Te 0.753 0.257 0.753
Te 0.753 0.753 0.257

Space-group type: No. 166
Raw formation energy: -1.368 eV/atom
N(E_F): 9.5 states/eV/f.u.

What are the density values for these records? In order: 10.4, 5.9, 6.9, 7.6, 7.1, 7.2 Mg/m³.